Entry 1:
The following is a DFT calculation (PBE) of a geometry-optimized PaSi2Tc2H structure. Values from VASP.

Uncorrected energy ... -47.94 eV per formula unit

Structure (Quantum ESPRESSO input):
```
&SYSTEM
  ibrav = 0, nat = 6, ntyp = 4
/
ATOMIC_SPECIES
Pa 231.04 Pa.upf
Si 28.09 Si.upf
Tc 98.00 Tc.upf
H 1.01 H.upf
ATOMIC_POSITIONS crystal
Pa 0.0000 0.0000 0.5000
Si 0.5000 0.5000 0.7310
Si 0.5000 0.5000 0.2690
Tc 0.5000 0.0000 0.0000
Tc 0.0000 0.5000 0.0000
H 0.0000 0.0000 0.0000
CELL_PARAMETERS angstrom
-2.0620 -1.0377 3.4239
3.1768 -2.3487 1.2013
2.0049 3.9401 2.4015
```

=====

Entry 2:
The following is a DFT calculation (PBE) of a geometry-optimized Sm3PaH structure. Values from VASP.

Uncorrected energy ... -26.81 eV per formula unit

Structure (Quantum ESPRESSO input):
```
&SYSTEM
  ibrav = 0, nat = 5, ntyp = 3
/
ATOMIC_SPECIES
H 1.01 H.upf
Pa 231.04 Pa.upf
Sm 150.36 Sm.upf
ATOMIC_POSITIONS crystal
H 0.0000 0.0000 0.0000
Pa 0.5000 0.5000 0.5000
Sm 0.0000 0.5000 0.0000
Sm 0.0000 0.0000 0.5000
Sm 0.5000 0.0000 0.0000
CELL_PARAMETERS angstrom
-4.2864 1.1447 2.2671
0.0398 -4.4167 2.3054
2.5394 2.0015 3.7907
```

=====

Respective volume values: 14.30, 24.74 Å³/atom.